VASP calculation (PBE with a Hubbard U) on a relaxed MnTcPO2 crystal.

Output
- Total moment: 6.8 μB per formula unit
- Energy relative to the lowest polymorph listed for this composition: 665 meV/atom
- Space group: No. 123

abc: 3.6670 3.6670 5.1990
angles: 90.00 90.00 90.00
Fractional coordinates of all 5 atoms:
1 Mn 0.0000 0.0000 0.0000
2 Tc 0.5000 0.5000 0.5000
3 P 0.0000 0.0000 0.5000
4 O 0.0000 0.5000 0.0000
5 O 0.5000 0.0000 0.0000